1.
# CaTlMo2, single point on PBEsol structure, DFT SCAN
# - ΔH_f (0 K) (eV per atom) = 0.26
# - calculated volume (A^3/atom) = 20.375
# - M_tot (μB/f.u.) = 0.00
# - density (g cm⁻³) = 8.89
# - E above lowest polymorph (eV per atom) = 0.000
data_CaTlMo2
_cell_length_a 3.285
_cell_length_b 3.277
_cell_length_c 7.571
_cell_angle_alpha 90.00
_cell_angle_beta 90.51
_cell_angle_gamma 90.00
_symmetry_space_group_name_H-M 'P 1 m 1'
_symmetry_Int_Tables_number 6
_symmetry_space_group_name_Hall 'P -2y'
loop_
_atom_site_label
_atom_site_fract_x
_atom_site_fract_y
_atom_site_fract_z
Ca1 0.000 0.000 0.000
Tl1 0.494 0.500 0.697
Mo1 0.503 0.500 0.287
Mo2 0.984 0.000 0.442

***

2.
# CaTlMo2, single point on PBEsol structure, DFT SCAN
# - ΔH_f (0 K) (eV per atom) = 0.54
# - calculated volume (A^3/atom) = 21.659
# - M_tot (μB/f.u.) = 0.00
# - density (g cm⁻³) = 8.36
# - E above lowest polymorph (eV per atom) = 0.276
data_CaTlMo2
_cell_length_a 8.381
_cell_length_b 3.073
_cell_length_c 6.773
_cell_angle_alpha 90.00
_cell_angle_beta 96.60
_cell_angle_gamma 90.00
_symmetry_space_group_name_H-M 'C 1 m 1'
_symmetry_Int_Tables_number 8
_symmetry_space_group_name_Hall 'C -2y'
loop_
_atom_site_label
_atom_site_fract_x
_atom_site_fract_y
_atom_site_fract_z
Ca1 0.000 0.000 0.000
Tl1 0.246 0.000 0.684
Mo1 0.000 0.500 0.433
Mo2 0.266 0.500 0.300

***

3.
# Ca2MoW, single point on PBEsol structure, DFT SCAN
# - ΔH_f (0 K) (eV per atom) = 0.97
# - calculated volume (A^3/atom) = 19.644
# - M_tot (μB/f.u.) = 0.00
# - density (g cm⁻³) = 7.61
# - E above lowest polymorph (eV per atom) = 0.498
data_Ca2MoW
_cell_length_a 3.904
_cell_length_b 3.904
_cell_length_c 10.310
_cell_angle_alpha 90.00
_cell_angle_beta 90.00
_cell_angle_gamma 90.00
_symmetry_space_group_name_H-M 'I 4/m m m'
_symmetry_Int_Tables_number 139
_symmetry_space_group_name_Hall '-I 4 2'
loop_
_atom_site_label
_atom_site_fract_x
_atom_site_fract_y
_atom_site_fract_z
Ca1 0.000 0.500 0.250
Mo1 0.000 0.000 0.000
W1 0.000 0.000 0.500

***

4.
# CaMoW, single point on PBEsol structure, DFT SCAN
# - ΔH_f (0 K) (eV per atom) = 0.60
# - calculated volume (A^3/atom) = 19.943
# - M_tot (μB/f.u.) = 0.00
# - density (g cm⁻³) = 8.88
data_CaMoW
_cell_length_a 3.264
_cell_length_b 3.264
_cell_length_c 11.234
_cell_angle_alpha 90.00
_cell_angle_beta 90.00
_cell_angle_gamma 90.00
_symmetry_space_group_name_H-M 'I 4 m m'
_symmetry_Int_Tables_number 107
_symmetry_space_group_name_Hall 'I 4 -2'
loop_
_atom_site_label
_atom_site_fract_x
_atom_site_fract_y
_atom_site_fract_z
Ca1 0.000 0.000 0.000
Mo1 0.000 0.000 0.698
W1 0.000 0.000 0.300

***

Results for density of states at the Fermi level: 2.9 5.5 4.7 5.5 (in states/eV/cell, following the order of the records).